(1)
# Y3Zn8Ni PBE optimized geometry
# - calculated formation energy (eV per formula unit) = -3.2
# - crystal system = trigonal
data_Y3Zn8Ni
_space_group_name_H-M_alt 'R 3 m'
_space_group_IT_number 160
_space_group_name_Hall 'R 3 -2"'
_cell_length_a 5.2851
_cell_length_b 5.2851
_cell_length_c 26.8458
_cell_angle_alpha 90.00
_cell_angle_beta 90.00
_cell_angle_gamma 120.00
loop_
_atom_site_label
_atom_site_type_symbol
_atom_site_fract_x
_atom_site_fract_y
_atom_site_fract_z
Y1 Y 0.0000 0.0000 0.0000
Y2 Y 0.0000 0.0000 0.1269
Y3 Y 0.0000 0.0000 0.5152
Zn1 Zn 0.0000 0.0000 0.3168
Zn2 Zn 0.0000 0.0000 0.8189
Zn3 Zn 0.1669 0.3338 0.9032
Zn4 Zn 0.1677 0.3354 0.3990
Ni1 Ni 0.0000 0.0000 0.6194


(2)
# YZn2Ni9 PBE optimized geometry
# - calculated formation energy (eV per formula unit) = -2.1
# - crystal system = trigonal
data_YZn2Ni9
_space_group_name_H-M_alt 'R -3 m'
_space_group_IT_number 166
_space_group_name_Hall '-R 3 2"'
_cell_length_a 4.8183
_cell_length_b 4.8183
_cell_length_c 23.2276
_cell_angle_alpha 90.00
_cell_angle_beta 90.00
_cell_angle_gamma 120.00
loop_
_atom_site_label
_atom_site_type_symbol
_atom_site_fract_x
_atom_site_fract_y
_atom_site_fract_z
Y1 Y 0.0000 0.0000 0.0000
Zn1 Zn 0.0000 0.0000 0.1446
Ni1 Ni 0.0000 0.0000 0.3342
Ni2 Ni 0.0000 0.0000 0.5000
Ni3 Ni 0.0049 0.5024 0.9139


(3)
# Y3Zn2Ni6 PBE optimized geometry
# - calculated formation energy (eV per formula unit) = -4.9
# - crystal system = cubic
data_Y3Zn2Ni6
_space_group_name_H-M_alt 'I m -3 m'
_space_group_IT_number 229
_space_group_name_Hall '-I 4 2 3'
_cell_length_a 8.922
_cell_length_b 8.922
_cell_length_c 8.922
_cell_angle_alpha 90.00
_cell_angle_beta 90.00
_cell_angle_gamma 90.00
loop_
_atom_site_label
_atom_site_type_symbol
_atom_site_fract_x
_atom_site_fract_y
_atom_site_fract_z
Y1 Y 0.000 0.000 0.294
Zn1 Zn 0.250 0.250 0.250
Ni1 Ni 0.000 0.338 0.338


(4)
# YZn2Ni8 PBE optimized geometry
# - calculated formation energy (eV per formula unit) = 3.4
# - crystal system = tetragonal
data_YZn2Ni8
_space_group_name_H-M_alt 'P 4/m m m'
_space_group_IT_number 123
_space_group_name_Hall '-P 4 2'
_cell_length_a 5.951
_cell_length_b 5.951
_cell_length_c 4.750
_cell_angle_alpha 90.00
_cell_angle_beta 90.00
_cell_angle_gamma 90.00
loop_
_atom_site_label
_atom_site_type_symbol
_atom_site_fract_x
_atom_site_fract_y
_atom_site_fract_z
Y1 Y 0.000 0.000 0.000
Zn1 Zn 0.000 0.500 0.500
Ni1 Ni 0.304 0.304 0.244


(5)
# Y2ZnNi9 PBE optimized geometry
# - calculated formation energy (eV per formula unit) = -2.4
# - crystal system = trigonal
data_Y2ZnNi9
_space_group_name_H-M_alt 'R -3 m'
_space_group_IT_number 166
_space_group_name_Hall '-R 3 2"'
_cell_length_a 4.9075
_cell_length_b 4.9075
_cell_length_c 24.0986
_cell_angle_alpha 90.00
_cell_angle_beta 90.00
_cell_angle_gamma 120.00
loop_
_atom_site_label
_atom_site_type_symbol
_atom_site_fract_x
_atom_site_fract_y
_atom_site_fract_z
Y1 Y 0.0000 0.0000 0.1346
Zn1 Zn 0.0000 0.0000 0.0000
Ni1 Ni 0.0000 0.0000 0.3330
Ni2 Ni 0.0000 0.0000 0.5000
Ni3 Ni 0.0009 0.5004 0.9189


(6)
# Y4ZnNi PBE optimized geometry
# - calculated formation energy (eV per formula unit) = 4.2
# - crystal system = cubic
data_Y4ZnNi
_space_group_name_H-M_alt 'F -4 3 m'
_space_group_IT_number 216
_space_group_name_Hall 'F -4 2 3'
_cell_length_a 8.670
_cell_length_b 8.670
_cell_length_c 8.670
_cell_angle_alpha 90.00
_cell_angle_beta 90.00
_cell_angle_gamma 90.00
loop_
_atom_site_label
_atom_site_type_symbol
_atom_site_fract_x
_atom_site_fract_y
_atom_site_fract_z
Y1 Y 0.125 0.125 0.125
Zn1 Zn 0.250 0.250 0.750
Ni1 Ni 0.000 0.000 0.500


(7)
# YZn3Ni3 PBE optimized geometry
# - calculated formation energy (eV per formula unit) = 1.8
# - crystal system = cubic
data_YZn3Ni3
_space_group_name_H-M_alt 'P m -3 n'
_space_group_IT_number 223
_space_group_name_Hall '-P 4n 2 3'
_cell_length_a 6.403
_cell_length_b 6.403
_cell_length_c 6.403
_cell_angle_alpha 90.00
_cell_angle_beta 90.00
_cell_angle_gamma 90.00
loop_
_atom_site_label
_atom_site_type_symbol
_atom_site_fract_x
_atom_site_fract_y
_atom_site_fract_z
Y1 Y 0.000 0.000 0.000
Zn1 Zn 0.000 0.250 0.500
Ni1 Ni 0.000 0.500 0.250


(8)
# Y2Zn5Ni PBE optimized geometry
# - calculated formation energy (eV per formula unit) = -2.6
# - crystal system = orthorhombic
data_Y2Zn5Ni
_space_group_name_H-M_alt 'C m c m'
_space_group_IT_number 63
_space_group_name_Hall '-C 2c 2'
_cell_length_a 4.134
_cell_length_b 15.998
_cell_length_c 8.948
_cell_angle_alpha 90.00
_cell_angle_beta 90.00
_cell_angle_gamma 90.00
loop_
_atom_site_label
_atom_site_type_symbol
_atom_site_fract_x
_atom_site_fract_y
_atom_site_fract_z
Y1 Y 0.000 0.000 0.000
Y2 Y 0.000 0.187 0.250
Zn1 Zn 0.000 0.193 0.608
Zn2 Zn 0.000 0.357 0.524
Zn3 Zn 0.000 0.401 0.250
Ni1 Ni 0.000 0.446 0.750